The following is a DFT calculation (PBE) of a geometry-optimized BiP2F structure.

Magnetic moment (Bohr magnetons per cell): 0.000
Crystal system: tetragonal
Offset from the most stable computed form (eV/f.u.): 0.00

CIF file:
```
data_BiP2F
_cell_length_a 3.6236
_cell_length_b 3.6236
_cell_length_c 22.1719
_cell_angle_alpha 90.00
_cell_angle_beta 90.00
_cell_angle_gamma 90.00
_space_group_name_H-M_alt 'I -4 2 d'
_space_group_IT_number 122
_space_group_name_Hall 'I -4 2bw'
loop_
_atom_site_label
_atom_site_type_symbol
_atom_site_fract_x
_atom_site_fract_y
_atom_site_fract_z
Bi1 Bi 0.0000 0.0000 0.0000
P1 P 0.1958 0.2500 0.6250
F1 F 0.0000 0.0000 0.5000
```